No. 1
## TlSbPb2 (GGA-PBEsol)

Data for an optimized crystal structure of TlSbPb2.

Cell lengths 3.770, 5.510, 10.974 Å; angles 90.00, 90.00, 90.00 degrees
Space group Cmmm (No. 65)
Unique sites:
1 Tl 0.000 0.000 0.000 [2 per cell]
2 Sb 0.000 0.000 0.500 [2 per cell]
3 Pb 0.000 0.500 0.258 [4 per cell]

Output
raw formation energy	0.0660	eV/atom
E above lowest polymorph	52	meV/atom
total magnetic moment	0.000	μB/atom

=====

No. 2
## Re2RuPb (GGA-PBEsol)

Data for an optimized crystal structure of Re2RuPb.

Cell lengths 3.117, 4.599, 8.950 Å; angles 90.00, 90.00, 90.00 degrees
Space group Imm2 (No. 44)
Unique sites:
1 Re 0.000 0.000 0.000 [2 per cell]
2 Re 0.000 0.500 0.261 [2 per cell]
3 Ru 0.000 0.500 0.763 [2 per cell]
4 Pb 0.000 0.000 0.507 [2 per cell]

Output
formation energy	0.8866	eV per atom
total magnetic moment	0.000	μB/atom

=====

No. 3
## CaZrHg (GGA-PBEsol)

Data for an optimized crystal structure of CaZrHg.

Cell lengths 6.790, 6.790, 6.790 Å; angles 90.00, 90.00, 90.00 degrees
Space group F-43m (No. 216)
Unique sites:
1 Ca 0.000 0.000 0.000 [4 per cell]
2 Zr 0.250 0.250 0.250 [4 per cell]
3 Hg 0.000 0.000 0.500 [4 per cell]

Output
formation energy	0.5243	eV per atom
total magnetic moment	0.000	μB/atom

=====

No. 4
## NaMgPH2 (GGA-PBEsol)

Data for an optimized crystal structure of NaMgPH2.

Cell lengths 3.922, 3.922, 5.063 Å; angles 90.00, 90.00, 90.00 degrees
Space group P4/mmm (No. 123)
Unique sites:
1 Na 0.000 0.000 0.000 [1 per cell]
2 Mg 0.500 0.500 0.000 [1 per cell]
3 P 0.500 0.500 0.500 [1 per cell]
4 H 0.000 0.500 0.500 [2 per cell]

Output
energy	-2.6361	eV per atom
total magnetic moment	0.000	μB/atom

=====

No. 5
## In2ReW (GGA-PBEsol)

Data for an optimized crystal structure of In2ReW.

Cell lengths 9.516, 2.992, 4.976 Å; angles 90.00, 100.90, 90.00 degrees
Space group C2/m (No. 12)
Unique sites:
1 In 0.248 0.000 0.247 [4 per cell]
2 Re 0.000 0.500 0.000 [2 per cell]
3 W 0.000 0.000 0.500 [2 per cell]

Output
formation energy	0.6556	eV per atom
E above lowest polymorph	109	meV/atom
total magnetic moment	0.000	μB/atom

=====

No. 6
## SiHg4As (GGA-PBEsol)

Data for an optimized crystal structure of SiHg4As.

Cell lengths 8.108, 8.108, 8.108 Å; angles 90.00, 90.00, 90.00 degrees
Space group F-43m (No. 216)
Unique sites:
1 Si 0.000 0.000 0.000 [4 per cell]
2 Hg 0.125 0.125 0.375 [16 per cell]
3 As 0.250 0.250 0.750 [4 per cell]

Output
raw formation energy	0.5699	eV/atom
total magnetic moment	0.000	μB/atom

=====

No. 7
## LiAsSe2S (GGA-PBEsol)

Data for an optimized crystal structure of LiAsSe2S.

Cell lengths 4.435, 4.435, 4.681 Å; angles 90.00, 90.00, 90.00 degrees
Space group P4/mmm (No. 123)
Unique sites:
1 Li 0.000 0.000 0.000 [1 per cell]
2 As 0.000 0.000 0.500 [1 per cell]
3 Se 0.000 0.500 0.000 [2 per cell]
4 S 0.500 0.500 0.500 [1 per cell]

Output
raw formation energy	0.5912	eV/atom
total magnetic moment	0.000	μB/atom

=====

No. 8
## YFeRu (GGA-PBEsol)

Data for an optimized crystal structure of YFeRu.

Cell lengths 3.8826, 3.8826, 4.1920 Å; angles 90.00, 90.00, 120.00 degrees
Space group P-6m2 (No. 187)
Unique sites:
1 Y 0.0000 0.0000 0.0000 [1 per cell]
2 Fe 0.6667 0.3333 0.5000 [1 per cell]
3 Ru 0.3333 0.6667 0.5000 [1 per cell]

Output
formation energy	-0.0008	eV per atom
total magnetic moment	0.003	μB/atom

=====

Look up the total magnetic moment of the sixth one. 0.000 μB/atom